Entry P
# SCAN Zn7Sb2O12, PBEsol geometry
# - Total moment: 0.000 μB/f.u.
data_Zn7Sb2O12
_chemical_formula_sum 'Zn14 Sb4 O24'
_space_group_name_H-M_alt 'P 1'
_space_group_IT_number 1
_cell_length_a 6.1037
_cell_length_b 6.1037
_cell_length_c 13.4074
_cell_angle_alpha 101.81
_cell_angle_beta 101.81
_cell_angle_gamma 90.28
loop_
_space_group_symop_operation_xyz
'x,y,z'
loop_
_atom_site_label
_atom_site_fract_x
_atom_site_fract_y
_atom_site_fract_z
_atom_site_occupancy
Zn1 0.0000 0.0000 0.0000 1
Zn2 0.0000 0.0000 0.5000 1
Zn3 0.0000 0.5000 0.5000 1
Zn4 0.1450 0.8550 0.7500 1
Zn5 0.1609 0.6876 0.3388 1
Zn6 0.2014 0.4888 0.9230 1
Zn7 0.3124 0.8391 0.1612 1
Zn8 0.4888 0.2014 0.4230 1
Zn9 0.5000 0.0000 0.0000 1
Zn10 0.5112 0.7986 0.5770 1
Zn11 0.6876 0.1609 0.8388 1
Zn12 0.7986 0.5112 0.0770 1
Zn13 0.8391 0.3124 0.6612 1
Zn14 0.8550 0.1450 0.2500 1
Sb1 0.3213 0.3348 0.1643 1
Sb2 0.3348 0.3213 0.6643 1
Sb3 0.6652 0.6787 0.3357 1
Sb4 0.6787 0.6652 0.8357 1
O1 0.0981 0.1042 0.1711 1
O2 0.1017 0.5475 0.6647 1
O3 0.1042 0.0981 0.6711 1
O4 0.1049 0.5778 0.1729 1
O5 0.2120 0.7512 0.4942 1
O6 0.2488 0.7880 0.0058 1
O7 0.2562 0.2608 0.0101 1
O8 0.2608 0.2562 0.5101 1
O9 0.4210 0.4323 0.3251 1
O10 0.4222 0.8951 0.3271 1
O11 0.4323 0.4210 0.8251 1
O12 0.4525 0.8983 0.8353 1
O13 0.5475 0.1017 0.1647 1
O14 0.5677 0.5790 0.1749 1
O15 0.5778 0.1049 0.6729 1
O16 0.5790 0.5677 0.6749 1
O17 0.7392 0.7438 0.4899 1
O18 0.7438 0.7392 0.9899 1
O19 0.7512 0.2120 0.9942 1
O20 0.7880 0.2488 0.5058 1
O21 0.8951 0.4222 0.8271 1
O22 0.8958 0.9019 0.3289 1
O23 0.8983 0.4525 0.3353 1
O24 0.9019 0.8958 0.8289 1


Entry Q
# SCAN Zn7Sb2O12, PBEsol geometry
# - Total moment: 0.000 μB/f.u.
data_Zn7Sb2O12
_chemical_formula_sum 'Zn14 Sb4 O24'
_space_group_name_H-M_alt 'P 1'
_space_group_IT_number 1
_cell_length_a 6.1709
_cell_length_b 8.5921
_cell_length_c 10.3888
_cell_angle_alpha 113.39
_cell_angle_beta 106.01
_cell_angle_gamma 92.31
loop_
_space_group_symop_operation_xyz
'x,y,z'
loop_
_atom_site_label
_atom_site_fract_x
_atom_site_fract_y
_atom_site_fract_z
_atom_site_occupancy
Zn1 0.0000 0.0000 0.0000 1
Zn2 0.0538 0.4593 0.1644 1
Zn3 0.1523 0.1509 0.8194 1
Zn4 0.1692 0.1735 0.3289 1
Zn5 0.2807 0.8597 0.5045 1
Zn6 0.3196 0.3190 0.6496 1
Zn7 0.3779 0.7998 0.8210 1
Zn8 0.5000 0.5000 0.5000 1
Zn9 0.6221 0.2002 0.1790 1
Zn10 0.6804 0.6810 0.3504 1
Zn11 0.7193 0.1403 0.4955 1
Zn12 0.8308 0.8265 0.6711 1
Zn13 0.8477 0.8491 0.1806 1
Zn14 0.9462 0.5407 0.8356 1
Sb1 0.0000 0.5000 0.5000 1
Sb2 0.3337 0.8398 0.1714 1
Sb3 0.5000 0.5000 0.0000 1
Sb4 0.6663 0.1602 0.8286 1
O1 0.0012 0.7355 0.5029 1
O2 0.0270 0.7558 0.0177 1
O3 0.1301 0.9287 0.8337 1
O4 0.1578 0.4264 0.3445 1
O5 0.1788 0.9033 0.3230 1
O6 0.2043 0.4050 0.8393 1
O7 0.3087 0.5701 0.6550 1
O8 0.3394 0.0645 0.1623 1
O9 0.3407 0.5889 0.1567 1
O10 0.3544 0.0948 0.6813 1
O11 0.4657 0.2626 0.4931 1
O12 0.4893 0.7392 0.0069 1
O13 0.5107 0.2608 0.9931 1
O14 0.5343 0.7374 0.5069 1
O15 0.6456 0.9052 0.3187 1
O16 0.6593 0.4111 0.8433 1
O17 0.6606 0.9355 0.8377 1
O18 0.6913 0.4299 0.3450 1
O19 0.7957 0.5950 0.1607 1
O20 0.8212 0.0967 0.6770 1
O21 0.8422 0.5736 0.6555 1
O22 0.8699 0.0713 0.1663 1
O23 0.9730 0.2442 0.9823 1
O24 0.9988 0.2645 0.4971 1


Result of the stability comparison: entry Q is the least stable of them.